# RbBO2 PBE-GGA relaxed
data_RbBO2
_chemical_formula_sum 'Rb1 B1 O2'
_cell_length_a 6.2534
_cell_length_b 6.2534
_cell_length_c 6.2534
_cell_angle_alpha 37.09
_cell_angle_beta 37.09
_cell_angle_gamma 37.09
_symmetry_space_group_name_H-M 'P 1'
_symmetry_Int_Tables_number 1
_symmetry_space_group_name_Hall 'P 1'
loop_
_atom_site_label
_atom_site_fract_x
_atom_site_fract_y
_atom_site_fract_z
Rb1 0.5000 0.5000 0.5000
O1 0.0725 0.0725 0.0725
O2 0.9275 0.9275 0.9275
B1 0.0000 0.0000 0.0000
# DOS(E_F), states/eV per cell: 0.00
# Raw formation energy, eV/atom: -2.1232
# SG: R-3m (166)



# AcPmPF PBE-GGA relaxed
data_AcPmPF
_chemical_formula_sum 'Ac1 Pm1 P1 F1'
_cell_length_a 5.0092
_cell_length_b 5.0092
_cell_length_c 5.0092
_cell_angle_alpha 60.00
_cell_angle_beta 60.00
_cell_angle_gamma 60.00
_symmetry_space_group_name_H-M 'P 1'
_symmetry_Int_Tables_number 1
_symmetry_space_group_name_Hall 'P 1'
loop_
_atom_site_label
_atom_site_fract_x
_atom_site_fract_y
_atom_site_fract_z
P1 0.2500 0.2500 0.2500
Ac1 0.0000 0.0000 0.0000
Pm1 0.5000 0.5000 0.5000
F1 0.7500 0.7500 0.7500
# DOS(E_F), states/eV per cell: 2.66
# Raw formation energy, eV/atom: -1.6624
# SG: F-43m (216)



# AsOsRhBr2 PBE-GGA relaxed
data_AsOsRhBr2
_chemical_formula_sum 'As1 Os1 Rh1 Br2'
_cell_length_a 5.0797
_cell_length_b 5.0797
_cell_length_c 4.7505
_cell_angle_alpha 90.00
_cell_angle_beta 90.00
_cell_angle_gamma 90.00
_symmetry_space_group_name_H-M 'P 1'
_symmetry_Int_Tables_number 1
_symmetry_space_group_name_Hall 'P 1'
loop_
_atom_site_label
_atom_site_fract_x
_atom_site_fract_y
_atom_site_fract_z
Os1 0.5000 0.5000 0.5000
Rh1 0.0000 0.0000 0.0000
As1 0.0000 0.0000 0.5000
Br1 0.0000 0.5000 0.0000
Br2 0.5000 0.0000 0.0000
# DOS(E_F), states/eV per cell: 3.60
# Raw formation energy, eV/atom: 1.3288
# SG: P4/mmm (123)



# SrCa3Ir PBE-GGA relaxed
data_SrCa3Ir
_chemical_formula_sum 'Sr1 Ca3 Ir1'
_cell_length_a 5.6600
_cell_length_b 5.6600
_cell_length_c 5.6600
_cell_angle_alpha 90.00
_cell_angle_beta 90.00
_cell_angle_gamma 90.00
_symmetry_space_group_name_H-M 'P 1'
_symmetry_Int_Tables_number 1
_symmetry_space_group_name_Hall 'P 1'
loop_
_atom_site_label
_atom_site_fract_x
_atom_site_fract_y
_atom_site_fract_z
Ca1 0.0000 0.5000 0.0000
Ca2 0.5000 0.0000 0.0000
Ca3 0.0000 0.0000 0.5000
Ir1 0.0000 0.0000 0.0000
Sr1 0.5000 0.5000 0.5000
# DOS(E_F), states/eV per cell: 4.26
# Energy relative to the elements, eV per atom: -0.185
# SG: Pm-3m (221)



# KCaLa2Fe PBE-GGA relaxed
data_KCaLa2Fe
_chemical_formula_sum 'K1 Ca1 La2 Fe1'
_cell_length_a 5.3409
_cell_length_b 5.3409
_cell_length_c 6.1823
_cell_angle_alpha 90.00
_cell_angle_beta 90.00
_cell_angle_gamma 90.00
_symmetry_space_group_name_H-M 'P 1'
_symmetry_Int_Tables_number 1
_symmetry_space_group_name_Hall 'P 1'
loop_
_atom_site_label
_atom_site_fract_x
_atom_site_fract_y
_atom_site_fract_z
Fe1 0.0000 0.0000 0.0000
K1 0.5000 0.5000 0.5000
La1 0.0000 0.5000 0.0000
La2 0.5000 0.0000 0.0000
Ca1 0.0000 0.0000 0.5000
# DOS(E_F), states/eV per cell: 5.37
# Energy relative to the elements, eV per atom: 0.213
# SG: P4/mmm (123)



# Tb2IrS PBE-GGA relaxed
data_Tb2IrS
_chemical_formula_sum 'Tb2 Ir1 S1'
_cell_length_a 3.9124
_cell_length_b 3.9124
_cell_length_c 7.3250
_cell_angle_alpha 74.51
_cell_angle_beta 74.51
_cell_angle_gamma 60.00
_symmetry_space_group_name_H-M 'P 1'
_symmetry_Int_Tables_number 1
_symmetry_space_group_name_Hall 'P 1'
loop_
_atom_site_label
_atom_site_fract_x
_atom_site_fract_y
_atom_site_fract_z
S1 0.0000 0.0000 0.0000
Tb1 0.7533 0.7533 0.7402
Tb2 0.2467 0.2467 0.2598
Ir1 0.5000 0.5000 0.5000
# DOS(E_F), states/eV per cell: 1.96
# Raw formation energy, eV/atom: -1.3013
# SG: R-3m (166)



no.,size of the total moment (μB per cell)
1,0.00
2,0.00
3,3.83
4,0.00
5,0.00
6,0.00